The following is a DFT calculation (PBE) of crystalline Pr2TlH2 at its relaxed geometry.

Cell: 6.145 6.145 6.787 Å, 104.68 104.68 116.26°
Element x y z (fractional)
Pr (0.443, 0.557, 0.250)
Pr (0.805, 0.195, 0.250)
Pr (0.195, 0.805, 0.750)
Pr (0.557, 0.443, 0.750)
Tl (0.124, 0.876, 0.250)
Tl (0.876, 0.124, 0.750)
H (0.744, 0.496, 0.489)
H (0.504, 0.256, 0.011)
H (0.496, 0.744, 0.989)
H (0.256, 0.504, 0.511)

Properties
Total magnetic moment ... 0.00 μB per formula unit
E above lowest polymorph ... 0.332 eV per formula unit
Raw total energy ... -4.22 eV per atom

The following is a DFT calculation (PBE) of crystalline MnHgPd3 at its relaxed geometry.

Cell: 4.261 5.509 7.596 Å, 90.00 90.00 90.00°
Element x y z (fractional)
Mn (0.750, 0.250, 0.124)
Mn (0.250, 0.750, 0.876)
Hg (0.750, 0.750, 0.444)
Hg (0.250, 0.250, 0.556)
Pd (0.750, 0.750, 0.079)
Pd (0.250, 0.250, 0.921)
Pd (0.750, 0.002, 0.760)
Pd (0.750, 0.498, 0.760)
Pd (0.250, 0.998, 0.240)
Pd (0.250, 0.502, 0.240)

Properties
Total magnetic moment ... 4.56 μB per formula unit
E above lowest polymorph ... 0.293 eV per formula unit
Energy of formation ... -110.0 meV/atom
Raw total energy ... -5.12 eV per atom

The following is a DFT calculation (PBE) of crystalline CoTcNi2 at its relaxed geometry.

Cell: 4.489 4.489 4.489 Å, 133.76 133.79 67.44°
Element x y z (fractional)
Ni (0.000, 0.000, 0.000)
Ni (0.500, 0.500, 0.000)
Co (0.250, 0.750, 0.500)
Tc (0.750, 0.250, 0.500)

Properties
Total magnetic moment ... 0.01 μB per formula unit
E above lowest polymorph ... 0.081 eV per formula unit
Energy of formation ... 54.2 meV/atom
Raw total energy ... -7.20 eV per atom

The following is a DFT calculation (PBE) of crystalline CeNdTeBr at its relaxed geometry.

Cell: 5.375 5.375 5.375 Å, 60.00 60.00 60.00°
Element x y z (fractional)
Te (0.250, 0.250, 0.250)
Nd (0.500, 0.500, 0.500)
Br (0.750, 0.750, 0.750)
Ce (0.000, 0.000, 0.000)

Properties
Total magnetic moment ... 1.17 μB per formula unit
E_form (uncorrected) ... -1.1570 eV per atom
Raw total energy ... -5.04 eV per atom

The following is a DFT calculation (PBE) of crystalline Ba2Na4Sr at its relaxed geometry.

Cell: 6.518 6.518 10.036 Å, 71.05 71.05 60.00°
Element x y z (fractional)
Ba (0.721, 0.721, 0.836)
Ba (0.279, 0.279, 0.164)
Na (0.863, 0.863, 0.411)
Na (0.137, 0.137, 0.589)
Na (0.568, 0.568, 0.296)
Na (0.432, 0.432, 0.704)
Sr (0.000, 0.000, 0.000)

Properties
Total magnetic moment ... 0.00 μB per formula unit
E above lowest polymorph ... 0.000 eV per formula unit
Energy of formation ... 58.0 meV/atom
Raw total energy ... -1.49 eV per atom

The following is a DFT calculation (PBE) of crystalline Tb11Al9Zn4 at its relaxed geometry.

Cell: 3.644 12.785 12.785 Å, 112.69 90.00 90.00°
Element x y z (fractional)
Tb (0.000, 0.592, 0.943)
Tb (0.000, 0.408, 0.057)
Tb (0.000, 0.943, 0.592)
Tb (0.000, 0.057, 0.408)
Tb (0.000, 0.633, 0.367)
Tb (0.000, 0.367, 0.633)
Tb (0.000, 0.838, 0.162)
Tb (0.000, 0.162, 0.838)
Tb (0.000, 0.000, 0.000)
Tb (0.000, 0.701, 0.701)
Tb (0.000, 0.299, 0.299)
Al (0.500, 0.631, 0.164)
Al (0.500, 0.369, 0.836)
Al (0.500, 0.164, 0.631)
Al (0.500, 0.836, 0.369)
Al (0.500, 0.784, 0.926)
Al (0.500, 0.216, 0.074)
Al (0.500, 0.926, 0.784)
Al (0.500, 0.074, 0.216)
Al (0.500, 0.500, 0.500)
Zn (0.500, 0.552, 0.754)
Zn (0.500, 0.448, 0.246)
Zn (0.500, 0.754, 0.552)
Zn (0.500, 0.246, 0.448)

Properties
Total magnetic moment ... 0.00 μB per formula unit
Energy of formation ... -368.8 meV/atom
Raw total energy ... -4.11 eV per atom